# 1
Here is a relaxed structure of Al2TlCu2 from Alexandria via LeMat-Bulk. Energies are from PBE.

Results
E_form, eV per atom: 0.0755
Total moment, Bohr magnetons per cell: 0.0
Fermi-level density of states, states/eV/f.u.: 1.8

a = 3.925 Å, b = 3.925 Å, c = 6.380 Å
α = 72.08°, β = 72.08°, γ = 90.00°
Positions (direct):
Al 0.250 0.750 0.500
Al 0.750 0.250 0.500
Cu 0.389 0.389 0.223
Tl 0.000 0.000 0.000
Cu 0.611 0.611 0.777

---

# 2
Here is a relaxed structure of Al2TlCu from Alexandria via LeMat-Bulk. Energies are from PBE.

Results
E_form, eV per atom: 0.2174
Total moment, Bohr magnetons per cell: 0.0
ΔE to the lowest computed polymorph, meV per atom: 105.3
Fermi-level density of states, states/eV/f.u.: 1.3

a = 5.858 Å, b = 5.858 Å, c = 5.858 Å
α = 150.84°, β = 128.17°, γ = 60.58°
Positions (direct):
Al 0.963 0.963 0.000
Cu 0.750 0.250 0.500
Al 0.537 0.537 0.000
Tl 0.250 0.750 0.500

---

# 3
Here is a relaxed structure of Al2TlCu from Alexandria via LeMat-Bulk. Energies are from PBE.

Results
E_form, eV per atom: 0.1428
Total moment, Bohr magnetons per cell: 0.0
ΔE to the lowest computed polymorph, meV per atom: 30.7
Fermi-level density of states, states/eV/f.u.: 0.9

a = 4.370 Å, b = 4.370 Å, c = 5.987 Å
α = 78.09°, β = 78.09°, γ = 44.70°
Positions (direct):
Cu 0.250 0.250 0.250
Tl 0.750 0.750 0.750
Al 0.520 0.520 0.422
Al 0.980 0.980 0.078

---

# 4
Here is a relaxed structure of Al2TlCu from Alexandria via LeMat-Bulk. Energies are from PBE.

Results
E_form, eV per atom: 0.3098
Total moment, Bohr magnetons per cell: 0.0
ΔE to the lowest computed polymorph, meV per atom: 197.8
Fermi-level density of states, states/eV/f.u.: 1.4

a = 4.990 Å, b = 4.990 Å, c = 3.260 Å
α = 90.00°, β = 90.00°, γ = 112.74°
Positions (direct):
Cu 0.500 0.000 0.500
Al 0.500 0.500 0.000
Al 0.000 0.000 0.000
Tl 0.000 0.500 0.500